This record from the Open Quantum Materials Database describes a relaxed BeNbReSi crystal. The functional is PBE.

The calculation puts the density at 9.5 g/cm³. The value obtained for the spin magnetization is 0.000 μB per atom. The calculation puts the final energy at -0.2943 hartree per atom.

abc: 6.039 6.039 6.039
angles: 90.00 90.00 90.00
Atoms (fractional coordinates):
Be 0.000 0.000 0.000
Be 0.000 0.500 0.500
Be 0.500 0.000 0.500
Be 0.500 0.500 0.000
Nb 0.250 0.250 0.250
Nb 0.250 0.750 0.750
Nb 0.750 0.250 0.750
Nb 0.750 0.750 0.250
Re 0.000 0.000 0.500
Re 0.000 0.500 0.000
Re 0.500 0.000 0.000
Re 0.500 0.500 0.500
Si 0.250 0.250 0.750
Si 0.250 0.750 0.250
Si 0.750 0.250 0.250
Si 0.750 0.750 0.750

***

This record from the Open Quantum Materials Database describes a relaxed BeNbReSi crystal. The functional is PBE.

The calculation puts the density at 9.8 g/cm³. The value obtained for the spin magnetization is 0.041 μB per atom. The calculation puts the final energy at -0.2923 hartree per atom.

abc: 5.983 5.983 5.983
angles: 90.00 90.00 90.00
Atoms (fractional coordinates):
Be 0.000 0.000 0.000
Be 0.000 0.500 0.500
Be 0.500 0.000 0.500
Be 0.500 0.500 0.000
Nb 0.250 0.250 0.750
Nb 0.250 0.750 0.250
Nb 0.750 0.250 0.250
Nb 0.750 0.750 0.750
Re 0.250 0.250 0.250
Re 0.250 0.750 0.750
Re 0.750 0.250 0.750
Re 0.750 0.750 0.250
Si 0.000 0.000 0.500
Si 0.000 0.500 0.000
Si 0.500 0.000 0.000
Si 0.500 0.500 0.500

***

This record from the Open Quantum Materials Database describes a relaxed BeNbReSn crystal. The functional is PBE.

The calculation puts the density at 10.7 g/cm³. The value obtained for the spin magnetization is 0.079 μB per atom. The calculation puts the final energy at -0.2620 hartree per atom.

abc: 6.322 6.322 6.322
angles: 90.00 90.00 90.00
Atoms (fractional coordinates):
Be 0.000 0.000 0.000
Be 0.000 0.500 0.500
Be 0.500 0.000 0.500
Be 0.500 0.500 0.000
Nb 0.250 0.250 0.750
Nb 0.250 0.750 0.250
Nb 0.750 0.250 0.250
Nb 0.750 0.750 0.750
Re 0.250 0.250 0.250
Re 0.250 0.750 0.750
Re 0.750 0.250 0.750
Re 0.750 0.750 0.250
Sn 0.000 0.000 0.500
Sn 0.000 0.500 0.000
Sn 0.500 0.000 0.000
Sn 0.500 0.500 0.500

***

This record from the Open Quantum Materials Database describes a relaxed BeNbReSn crystal. The functional is PBE.

The calculation puts the density at 10.6 g/cm³. The value obtained for the spin magnetization is 0.000 μB per atom. The calculation puts the final energy at -0.2714 hartree per atom.

abc: 6.332 6.332 6.332
angles: 90.00 90.00 90.00
Atoms (fractional coordinates):
Be 0.000 0.000 0.000
Be 0.000 0.500 0.500
Be 0.500 0.000 0.500
Be 0.500 0.500 0.000
Nb 0.250 0.250 0.250
Nb 0.250 0.750 0.750
Nb 0.750 0.250 0.750
Nb 0.750 0.750 0.250
Re 0.000 0.000 0.500
Re 0.000 0.500 0.000
Re 0.500 0.000 0.000
Re 0.500 0.500 0.500
Sn 0.250 0.250 0.750
Sn 0.250 0.750 0.250
Sn 0.750 0.250 0.250
Sn 0.750 0.750 0.750

***

This record from the Open Quantum Materials Database describes a relaxed ZrBeNbRe crystal. The functional is PBE.

The calculation puts the density at 9.9 g/cm³. The value obtained for the spin magnetization is 0.000 μB per atom. The calculation puts the final energy at -0.3178 hartree per atom.

abc: 6.343 6.343 6.343
angles: 90.00 90.00 90.00
Atoms (fractional coordinates):
Zr 0.000 0.000 0.000
Zr 0.000 0.500 0.500
Zr 0.500 0.000 0.500
Zr 0.500 0.500 0.000
Be 0.250 0.250 0.250
Be 0.250 0.750 0.750
Be 0.750 0.250 0.750
Be 0.750 0.750 0.250
Nb 0.250 0.250 0.750
Nb 0.250 0.750 0.250
Nb 0.750 0.250 0.250
Nb 0.750 0.750 0.750
Re 0.000 0.000 0.500
Re 0.000 0.500 0.000
Re 0.500 0.000 0.000
Re 0.500 0.500 0.500

***

This record from the Open Quantum Materials Database describes a relaxed ZrBeNbRe crystal. The functional is PBE.

The calculation puts the density at 9.6 g/cm³. The value obtained for the spin magnetization is 0.000 μB per atom. The calculation puts the final energy at -0.3217 hartree per atom.

abc: 6.401 6.401 6.401
angles: 90.00 90.00 90.00
Atoms (fractional coordinates):
Zr 0.000 0.000 0.000
Zr 0.000 0.500 0.500
Zr 0.500 0.000 0.500
Zr 0.500 0.500 0.000
Be 0.250 0.250 0.250
Be 0.250 0.750 0.750
Be 0.750 0.250 0.750
Be 0.750 0.750 0.250
Nb 0.000 0.000 0.500
Nb 0.000 0.500 0.000
Nb 0.500 0.000 0.000
Nb 0.500 0.500 0.500
Re 0.250 0.250 0.750
Re 0.250 0.750 0.250
Re 0.750 0.250 0.250
Re 0.750 0.750 0.750

***

This record from the Open Quantum Materials Database describes a relaxed BeNbSb crystal. The functional is PBE.

The calculation puts the density at 6.0 g/cm³. The value obtained for the spin magnetization is 0.274 μB per atom. The calculation puts the final energy at -0.1947 hartree per atom.

abc: 6.290 6.290 6.290
angles: 90.00 90.00 90.00
Atoms (fractional coordinates):
Be 0.000 0.000 0.000
Be 0.000 0.500 0.500
Be 0.500 0.000 0.500
Be 0.500 0.500 0.000
Nb 0.250 0.250 0.750
Nb 0.250 0.750 0.250
Nb 0.750 0.250 0.250
Nb 0.750 0.750 0.750
Sb 0.000 0.000 0.500
Sb 0.000 0.500 0.000
Sb 0.500 0.000 0.000
Sb 0.500 0.500 0.500

***

This record from the Open Quantum Materials Database describes a relaxed BeNbSb crystal. The functional is PBE.

The calculation puts the density at 7.0 g/cm³. The value obtained for the spin magnetization is 0.596 μB per atom. The calculation puts the final energy at -0.2028 hartree per atom.

abc: 5.973 5.973 5.973
angles: 90.00 90.00 90.00
Atoms (fractional coordinates):
Be 0.000 0.000 0.000
Be 0.000 0.500 0.500
Be 0.500 0.000 0.500
Be 0.500 0.500 0.000
Nb 0.250 0.250 0.750
Nb 0.250 0.750 0.250
Nb 0.750 0.250 0.250
Nb 0.750 0.750 0.750
Sb 0.250 0.250 0.250
Sb 0.250 0.750 0.750
Sb 0.750 0.250 0.750
Sb 0.750 0.750 0.250

***

This record from the Open Quantum Materials Database describes a relaxed BeNbSbW crystal. The functional is PBE.

The calculation puts the density at 10.3 g/cm³. The value obtained for the spin magnetization is 0.001 μB per atom. The calculation puts the final energy at -0.2686 hartree per atom.

abc: 6.397 6.397 6.397
angles: 90.00 90.00 90.00
Atoms (fractional coordinates):
Be 0.000 0.000 0.000
Be 0.000 0.500 0.500
Be 0.500 0.000 0.500
Be 0.500 0.500 0.000
Nb 0.250 0.250 0.250
Nb 0.250 0.750 0.750
Nb 0.750 0.250 0.750
Nb 0.750 0.750 0.250
Sb 0.250 0.250 0.750
Sb 0.250 0.750 0.250
Sb 0.750 0.250 0.250
Sb 0.750 0.750 0.750
W 0.000 0.000 0.500
W 0.000 0.500 0.000
W 0.500 0.000 0.000
W 0.500 0.500 0.500

***

This record from the Open Quantum Materials Database describes a relaxed BeNbSbW crystal. The functional is PBE.

The calculation puts the density at 10.4 g/cm³. The value obtained for the spin magnetization is 0.008 μB per atom. The calculation puts the final energy at -0.2658 hartree per atom.

abc: 6.386 6.386 6.386
angles: 90.00 90.00 90.00
Atoms (fractional coordinates):
Be 0.000 0.000 0.000
Be 0.000 0.500 0.500
Be 0.500 0.000 0.500
Be 0.500 0.500 0.000
Nb 0.250 0.250 0.750
Nb 0.250 0.750 0.250
Nb 0.750 0.250 0.250
Nb 0.750 0.750 0.750
Sb 0.000 0.000 0.500
Sb 0.000 0.500 0.000
Sb 0.500 0.000 0.000
Sb 0.500 0.500 0.500
W 0.250 0.250 0.250
W 0.250 0.750 0.750
W 0.750 0.250 0.750
W 0.750 0.750 0.250

***

This record from the Open Quantum Materials Database describes a relaxed ScBeNb2 crystal. The functional is PBE.

The calculation puts the density at 5.8 g/cm³. The value obtained for the spin magnetization is 0.000 μB per atom. The calculation puts the final energy at -0.2706 hartree per atom.

abc: 6.482 6.482 6.482
angles: 90.00 90.00 90.00
Atoms (fractional coordinates):
Sc 0.000 0.000 0.000
Sc 0.000 0.500 0.500
Sc 0.500 0.000 0.500
Sc 0.500 0.500 0.000
Be 0.250 0.250 0.750
Be 0.250 0.750 0.250
Be 0.750 0.250 0.250
Be 0.750 0.750 0.750
Nb 0.000 0.000 0.500
Nb 0.000 0.500 0.000
Nb 0.250 0.250 0.250
Nb 0.250 0.750 0.750
Nb 0.500 0.000 0.000
Nb 0.500 0.500 0.500
Nb 0.750 0.250 0.750
Nb 0.750 0.750 0.250

***

This record from the Open Quantum Materials Database describes a relaxed BeNb2Si crystal. The functional is PBE.

The calculation puts the density at 6.2 g/cm³. The value obtained for the spin magnetization is 0.000 μB per atom. The calculation puts the final energy at -0.2634 hartree per atom.

abc: 6.196 6.196 6.196
angles: 90.00 90.00 90.00
Atoms (fractional coordinates):
Be 0.000 0.000 0.000
Be 0.000 0.500 0.500
Be 0.500 0.000 0.500
Be 0.500 0.500 0.000
Nb 0.000 0.000 0.500
Nb 0.000 0.500 0.000
Nb 0.250 0.250 0.250
Nb 0.250 0.750 0.750
Nb 0.500 0.000 0.000
Nb 0.500 0.500 0.500
Nb 0.750 0.250 0.750
Nb 0.750 0.750 0.250
Si 0.250 0.250 0.750
Si 0.250 0.750 0.250
Si 0.750 0.250 0.250
Si 0.750 0.750 0.750

***

This record from the Open Quantum Materials Database describes a relaxed Be2NbSi crystal. The functional is PBE.

The calculation puts the density at 4.6 g/cm³. The value obtained for the spin magnetization is 0.011 μB per atom. The calculation puts the final energy at -0.2005 hartree per atom.

abc: 5.853 5.853 5.853
angles: 90.00 90.00 90.00
Atoms (fractional coordinates):
Be 0.000 0.000 0.000
Be 0.000 0.500 0.500
Be 0.250 0.250 0.250
Be 0.250 0.750 0.750
Be 0.500 0.000 0.500
Be 0.500 0.500 0.000
Be 0.750 0.250 0.750
Be 0.750 0.750 0.250
Nb 0.250 0.250 0.750
Nb 0.250 0.750 0.250
Nb 0.750 0.250 0.250
Nb 0.750 0.750 0.750
Si 0.000 0.000 0.500
Si 0.000 0.500 0.000
Si 0.500 0.000 0.000
Si 0.500 0.500 0.500

***

This record from the Open Quantum Materials Database describes a relaxed BeNb2Si crystal. The functional is PBE.

The calculation puts the density at 6.5 g/cm³. The value obtained for the spin magnetization is 0.000 μB per atom. The calculation puts the final energy at -0.2917 hartree per atom.

abc: 5.004 3.517 6.932
angles: 90.00 110.23 90.00
Atoms (fractional coordinates):
Be 0.149 0.250 0.288
Be 0.851 0.750 0.712
Nb 0.299 0.750 0.078
Nb 0.305 0.750 0.572
Nb 0.695 0.250 0.428
Nb 0.701 0.250 0.922
Si 0.137 0.250 0.783
Si 0.863 0.750 0.217

***

This record from the Open Quantum Materials Database describes a relaxed BeNbSiTc crystal. The functional is PBE.

The calculation puts the density at 7.0 g/cm³. The value obtained for the spin magnetization is 0.000 μB per atom. The calculation puts the final energy at -0.2798 hartree per atom.

abc: 6.010 6.010 6.010
angles: 90.00 90.00 90.00
Atoms (fractional coordinates):
Be 0.000 0.000 0.000
Be 0.000 0.500 0.500
Be 0.500 0.000 0.500
Be 0.500 0.500 0.000
Nb 0.250 0.250 0.250
Nb 0.250 0.750 0.750
Nb 0.750 0.250 0.750
Nb 0.750 0.750 0.250
Si 0.250 0.250 0.750
Si 0.250 0.750 0.250
Si 0.750 0.250 0.250
Si 0.750 0.750 0.750
Tc 0.000 0.000 0.500
Tc 0.000 0.500 0.000
Tc 0.500 0.000 0.000
Tc 0.500 0.500 0.500

***

This record from the Open Quantum Materials Database describes a relaxed BeNbSiTc crystal. The functional is PBE.

The calculation puts the density at 7.1 g/cm³. The value obtained for the spin magnetization is 0.046 μB per atom. The calculation puts the final energy at -0.2775 hartree per atom.

abc: 5.982 5.982 5.982
angles: 90.00 90.00 90.00
Atoms (fractional coordinates):
Be 0.000 0.000 0.000
Be 0.000 0.500 0.500
Be 0.500 0.000 0.500
Be 0.500 0.500 0.000
Nb 0.250 0.250 0.750
Nb 0.250 0.750 0.250
Nb 0.750 0.250 0.250
Nb 0.750 0.750 0.750
Si 0.000 0.000 0.500
Si 0.000 0.500 0.000
Si 0.500 0.000 0.000
Si 0.500 0.500 0.500
Tc 0.250 0.250 0.250
Tc 0.250 0.750 0.750
Tc 0.750 0.250 0.750
Tc 0.750 0.750 0.250

***

This record from the Open Quantum Materials Database describes a relaxed Be2NbSn crystal. The functional is PBE.

The calculation puts the density at 6.1 g/cm³. The value obtained for the spin magnetization is 0.252 μB per atom. The calculation puts the final energy at -0.1729 hartree per atom.

abc: 6.284 6.284 6.284
angles: 90.00 90.00 90.00
Atoms (fractional coordinates):
Be 0.000 0.000 0.000
Be 0.000 0.500 0.500
Be 0.250 0.250 0.250
Be 0.250 0.750 0.750
Be 0.500 0.000 0.500
Be 0.500 0.500 0.000
Be 0.750 0.250 0.750
Be 0.750 0.750 0.250
Nb 0.250 0.250 0.750
Nb 0.250 0.750 0.250
Nb 0.750 0.250 0.250
Nb 0.750 0.750 0.750
Sn 0.000 0.000 0.500
Sn 0.000 0.500 0.000
Sn 0.500 0.000 0.000
Sn 0.500 0.500 0.500

***

This record from the Open Quantum Materials Database describes a relaxed BeNbTcSn crystal. The functional is PBE.

The calculation puts the density at 8.4 g/cm³. The value obtained for the spin magnetization is 0.067 μB per atom. The calculation puts the final energy at -0.2492 hartree per atom.

abc: 6.324 6.324 6.324
angles: 90.00 90.00 90.00
Atoms (fractional coordinates):
Be 0.000 0.000 0.000
Be 0.000 0.500 0.500
Be 0.500 0.000 0.500
Be 0.500 0.500 0.000
Nb 0.250 0.250 0.750
Nb 0.250 0.750 0.250
Nb 0.750 0.250 0.250
Nb 0.750 0.750 0.750
Tc 0.250 0.250 0.250
Tc 0.250 0.750 0.750
Tc 0.750 0.250 0.750
Tc 0.750 0.750 0.250
Sn 0.000 0.000 0.500
Sn 0.000 0.500 0.000
Sn 0.500 0.000 0.000
Sn 0.500 0.500 0.500

***

This record from the Open Quantum Materials Database describes a relaxed BeNbTcSn crystal. The functional is PBE.

The calculation puts the density at 8.4 g/cm³. The value obtained for the spin magnetization is 0.001 μB per atom. The calculation puts the final energy at -0.2581 hartree per atom.

abc: 6.305 6.305 6.305
angles: 90.00 90.00 90.00
Atoms (fractional coordinates):
Be 0.000 0.000 0.000
Be 0.000 0.500 0.500
Be 0.500 0.000 0.500
Be 0.500 0.500 0.000
Nb 0.250 0.250 0.250
Nb 0.250 0.750 0.750
Nb 0.750 0.250 0.750
Nb 0.750 0.750 0.250
Tc 0.000 0.000 0.500
Tc 0.000 0.500 0.000
Tc 0.500 0.000 0.000
Tc 0.500 0.500 0.500
Sn 0.250 0.250 0.750
Sn 0.250 0.750 0.250
Sn 0.750 0.250 0.250
Sn 0.750 0.750 0.750

***

This record from the Open Quantum Materials Database describes a relaxed TaBeNb2 crystal. The functional is PBE.

The calculation puts the density at 9.5 g/cm³. The value obtained for the spin magnetization is 0.000 μB per atom. The calculation puts the final energy at -0.3214 hartree per atom.

abc: 6.395 6.395 6.395
angles: 90.00 90.00 90.00
Atoms (fractional coordinates):
Ta 0.000 0.000 0.000
Ta 0.000 0.500 0.500
Ta 0.500 0.000 0.500
Ta 0.500 0.500 0.000
Be 0.250 0.250 0.750
Be 0.250 0.750 0.250
Be 0.750 0.250 0.250
Be 0.750 0.750 0.750
Nb 0.000 0.000 0.500
Nb 0.000 0.500 0.000
Nb 0.250 0.250 0.250
Nb 0.250 0.750 0.750
Nb 0.500 0.000 0.000
Nb 0.500 0.500 0.500
Nb 0.750 0.250 0.750
Nb 0.750 0.750 0.250